Entry from Alexandria: a relaxed Pm4Sn5Au3 crystal (PBE).

Unit cell a=6.085 b=6.085 c=11.937 alpha=98.37 beta=98.37 gamma=50.04
Positions (direct):
Pm: 0.093 0.093 0.389
Pm: 0.260 0.260 0.132
Pm: 0.740 0.740 0.868
Pm: 0.907 0.907 0.611
Sn: 0.213 0.213 0.700
Sn: 0.383 0.383 0.419
Sn: 0.500 0.500 0.000
Sn: 0.617 0.617 0.581
Sn: 0.787 0.787 0.300
Au: 0.000 0.000 0.000
Au: 0.469 0.469 0.759
Au: 0.531 0.531 0.241

Properties
space-group type = No. 12
calculated formation energy = -439 meV/atom



Entry from Alexandria: a relaxed Sc2SiNi crystal (PBE).

Unit cell a=3.106 b=3.573 c=6.058 alpha=90.00 beta=90.07 gamma=90.00
Positions (direct):
Sc: 0.000 0.000 0.246
Sc: 0.000 0.000 0.754
Si: 0.500 0.500 0.500
Ni: 0.500 0.500 0.000

Properties
formation energy from raw total energies = -0.52 eV/atom
space-group type = No. 10



Entry from Alexandria: a relaxed TcAg3Br6Cl2 crystal (PBE).

Unit cell a=8.190 b=8.190 c=6.267 alpha=101.60 beta=101.60 gamma=55.81
Positions (direct):
Tc: 0.000 0.000 0.000
Ag: 0.000 0.500 0.000
Ag: 0.500 0.000 0.000
Ag: 0.500 0.500 0.500
Br: 0.122 0.122 0.772
Br: 0.144 0.675 0.755
Br: 0.325 0.856 0.245
Br: 0.675 0.144 0.755
Br: 0.856 0.325 0.245
Br: 0.878 0.878 0.228
Cl: 0.337 0.337 0.232
Cl: 0.663 0.663 0.768

Properties
formation energy from raw total energies = -0.35 eV/atom
space-group type = No. 12



Entry from Alexandria: a relaxed MgAgSe2O6 crystal (PBE).

Unit cell a=6.383 b=6.383 c=6.383 alpha=49.41 beta=49.41 gamma=49.41
Positions (direct):
Mg: 0.000 0.000 0.000
Ag: 0.500 0.500 0.500
Se: 0.225 0.225 0.225
Se: 0.775 0.775 0.775
O: 0.021 0.767 0.424
O: 0.233 0.576 0.979
O: 0.424 0.021 0.767
O: 0.576 0.979 0.233
O: 0.767 0.424 0.021
O: 0.979 0.233 0.576

Properties
formation energy from raw total energies = -0.96 eV/atom
space-group type = No. 148



Copy entry 3 word for word.
Entry from Alexandria: a relaxed TcAg3Br6Cl2 crystal (PBE).

Unit cell a=8.190 b=8.190 c=6.267 alpha=101.60 beta=101.60 gamma=55.81
Positions (direct):
Tc: 0.000 0.000 0.000
Ag: 0.000 0.500 0.000
Ag: 0.500 0.000 0.000
Ag: 0.500 0.500 0.500
Br: 0.122 0.122 0.772
Br: 0.144 0.675 0.755
Br: 0.325 0.856 0.245
Br: 0.675 0.144 0.755
Br: 0.856 0.325 0.245
Br: 0.878 0.878 0.228
Cl: 0.337 0.337 0.232
Cl: 0.663 0.663 0.768

Properties
formation energy from raw total energies = -0.35 eV/atom
space-group type = No. 12